Entry from Alexandria via LeMat-Bulk: a geometry-optimized Pm3Al2Pt3 structure (PBE-GGA).

## Properties
calculated density = 10251 kg/m3
formation energy from the elements = -0.947 eV/atom
symmetry = P6_3/mcm
energy = -94.9 eV per cell
volume = 21.75 Å³/atom

Lattice parameters (Å, degrees): 5.7229 8.3797 8.3797 120.00 90.00 90.00
Sites, in units of the cell vectors:
Pm 0.7500 0.2698 0.0000
Pt 0.7500 0.0000 0.6020
Pt 0.7500 0.6020 0.0000
Pm 0.2500 0.0000 0.7302
Pt 0.2500 0.6020 0.6020
Al 0.5000 0.3333 0.6667
Al 0.0000 0.3333 0.6667
Pt 0.2500 0.3980 0.0000
Pm 0.7500 0.0000 0.2698
Al 0.5000 0.6667 0.3333
Pm 0.7500 0.7302 0.7302
Pt 0.7500 0.3980 0.3980
Pm 0.2500 0.7302 0.0000
Pt 0.2500 0.0000 0.3980
Pm 0.2500 0.2698 0.2698
Al 0.0000 0.6667 0.3333

---

Entry from Alexandria via LeMat-Bulk: a geometry-optimized Pm2Al3Pt2 structure (PBE-GGA).

## Properties
calculated density = 8787 kg/m3
formation energy from the elements = -0.963 eV/atom
symmetry = C2/m
energy = -39.5 eV per cell
volume = 20.55 Å³/atom

Lattice parameters (Å, degrees): 4.2448 5.7639 7.1129 115.20 90.00 111.61
Sites, in units of the cell vectors:
Pm 0.8575 0.7149 0.2243
Al 0.3617 0.7234 0.5652
Pt 0.1382 0.2764 0.2159
Al 0.6383 0.2766 0.4348
Pm 0.1425 0.2851 0.7757
Al 0.5000 0.0000 0.0000
Pt 0.8618 0.7236 0.7841

---

Entry from Alexandria via LeMat-Bulk: a geometry-optimized PmAl2Pt structure (PBE-GGA).

## Properties
calculated density = 8276 kg/m3
formation energy from the elements = -0.580 eV/atom
symmetry = P4/mmm
energy = -20.6 eV per cell
volume = 19.77 Å³/atom

Lattice parameters (Å, degrees): 4.4736 4.2041 4.2041 90.00 90.00 90.00
Sites, in units of the cell vectors:
Al 0.0000 0.5000 0.0000
Al 0.0000 0.0000 0.5000
Pm 0.5000 0.0000 0.0000
Pt 0.5000 0.5000 0.5000

---

Entry from Alexandria via LeMat-Bulk: a geometry-optimized PmAlPt structure (PBE-GGA).

## Properties
calculated density = 8541 kg/m3
formation energy from the elements = -0.794 eV/atom
symmetry = R-3m
energy = -33.8 eV per cell
volume = 23.79 Å³/atom

Lattice parameters (Å, degrees): 4.7881 4.7881 7.7018 71.89 71.89 60.00
Sites, in units of the cell vectors:
Al 0.1270 0.1270 0.6190
Al 0.8730 0.8730 0.3810
Pt 0.2417 0.2417 0.2748
Pm 0.6133 0.6133 0.1601
Pm 0.3867 0.3867 0.8399
Pt 0.7583 0.7583 0.7252

---

Entry from Alexandria via LeMat-Bulk: a geometry-optimized Pm2AlPt5 structure (PBE-GGA).

## Properties
calculated density = 13369 kg/m3
formation energy from the elements = -0.953 eV/atom
symmetry = I4mm
energy = -51.1 eV per cell
volume = 20.07 Å³/atom

Lattice parameters (Å, degrees): 6.0350 6.0350 6.0350 94.15 117.63 117.63
Sites, in units of the cell vectors:
Pm 0.5000 0.7478 0.2478
Pt 0.4522 0.7285 0.7285
Pt 0.5478 0.2763 0.2763
Pm 0.5000 0.2478 0.7478
Pt 0.0000 0.2763 0.7285
Pt 0.0000 0.2608 0.2608
Al 0.0000 0.9559 0.9559
Pt 0.0000 0.7285 0.2763

---

Entry from Alexandria via LeMat-Bulk: a geometry-optimized PmAl4Pt2 structure (PBE-GGA).

## Properties
calculated density = 8523 kg/m3
formation energy from the elements = -0.976 eV/atom
symmetry = Pnma
energy = -154.5 eV per cell
volume = 17.90 Å³/atom

Lattice parameters (Å, degrees): 4.3179 6.6536 17.4439 90.00 90.00 90.00
Sites, in units of the cell vectors:
Pt 0.7500 0.4735 0.7152
Pt 0.7500 0.2471 0.4626
Pt 0.2500 0.7529 0.5374
Pm 0.7500 0.9884 0.6393
Al 0.2500 0.3390 0.0347
Pm 0.7500 0.5116 0.1393
Al 0.7500 0.7736 0.8060
Al 0.7500 0.3226 0.3141
Pt 0.2500 0.5265 0.2848
Al 0.7500 0.8390 0.4653
Al 0.7500 0.5087 0.5704
Al 0.7500 0.1774 0.8141
Pt 0.7500 0.0265 0.2152
Al 0.2500 0.1610 0.5347
Pt 0.2500 0.7471 0.0374
Al 0.7500 0.6610 0.9653
Al 0.2500 0.2264 0.1940
Al 0.7500 0.9913 0.0704
Al 0.2500 0.6774 0.6859
Pm 0.2500 0.4884 0.8607
Al 0.2500 0.4913 0.4296
Al 0.2500 0.8226 0.1859
Al 0.2500 0.2736 0.6940
Al 0.7500 0.7264 0.3060
Al 0.2500 0.0087 0.9296
Pt 0.7500 0.2529 0.9626
Pt 0.2500 0.9735 0.7848
Pm 0.2500 0.0116 0.3607

---

Entry from Alexandria via LeMat-Bulk: a geometry-optimized Pm3Al4Pt2 structure (PBE-GGA).

## Properties
calculated density = 7741 kg/m3
formation energy from the elements = -0.796 eV/atom
symmetry = C2/m
energy = -48.5 eV per cell
volume = 22.24 Å³/atom

Lattice parameters (Å, degrees): 4.4654 5.9750 8.4645 105.87 90.00 111.94
Sites, in units of the cell vectors:
Pm 0.6152 0.2305 0.6949
Al 0.1060 0.2119 0.4178
Pm 0.0000 0.0000 0.0000
Pt 0.3202 0.6405 0.6492
Pt 0.6798 0.3595 0.3508
Al 0.7252 0.4504 0.0779
Pm 0.3848 0.7695 0.3051
Al 0.2748 0.5496 0.9221
Al 0.8940 0.7881 0.5822

---

Entry from Alexandria via LeMat-Bulk: a geometry-optimized PmAl4Pt2 structure (PBE-GGA).

## Properties
calculated density = 8428 kg/m3
formation energy from the elements = -0.903 eV/atom
symmetry = P4_2/mnm
energy = -76.2 eV per cell
volume = 18.10 Å³/atom

Lattice parameters (Å, degrees): 4.1395 7.8242 7.8242 90.00 90.00 90.00
Sites, in units of the cell vectors:
Al 0.0000 0.9162 0.6642
Al 0.5000 0.5838 0.1642
Pm 0.0000 0.5000 0.5000
Pt 0.0000 0.7806 0.2194
Pm 0.5000 0.0000 0.0000
Al 0.0000 0.6642 0.9162
Al 0.0000 0.3358 0.0838
Pt 0.0000 0.2194 0.7806
Al 0.5000 0.1642 0.5838
Pt 0.5000 0.7194 0.7194
Al 0.0000 0.0838 0.3358
Al 0.5000 0.8358 0.4162
Al 0.5000 0.4162 0.8358
Pt 0.5000 0.2806 0.2806

---

Entry from Alexandria via LeMat-Bulk: a geometry-optimized PmAl3Pt structure (PBE-GGA).

## Properties
calculated density = 7124 kg/m3
formation energy from the elements = -0.831 eV/atom
symmetry = Pnma
energy = -104.7 eV per cell
volume = 19.63 Å³/atom

Lattice parameters (Å, degrees): 4.2435 8.3844 11.0335 90.00 90.00 90.00
Sites, in units of the cell vectors:
Al 0.7500 0.1170 0.2014
Pm 0.7500 0.3135 0.4851
Al 0.7500 0.6170 0.2986
Al 0.2500 0.0611 0.4154
Pt 0.2500 0.0957 0.6463
Al 0.7500 0.9389 0.5846
Al 0.7500 0.4389 0.9154
Pt 0.7500 0.9043 0.3537
Al 0.2500 0.5611 0.0846
Pm 0.2500 0.1865 0.9851
Pt 0.2500 0.5957 0.8537
Al 0.2500 0.3584 0.2806
Pt 0.7500 0.4043 0.1463
Al 0.2500 0.8584 0.2194
Al 0.7500 0.1416 0.7806
Al 0.2500 0.3830 0.7014
Al 0.7500 0.6416 0.7194
Pm 0.2500 0.6865 0.5149
Pm 0.7500 0.8135 0.0149
Al 0.2500 0.8830 0.7986

---

Entry from Alexandria via LeMat-Bulk: a geometry-optimized Pm4AlPt3 structure (PBE-GGA).

## Properties
calculated density = 10061 kg/m3
formation energy from the elements = -0.972 eV/atom
symmetry = Pmm2
energy = -48.6 eV per cell
volume = 24.60 Å³/atom

Lattice parameters (Å, degrees): 3.9594 4.4654 11.1298 90.00 90.00 90.00
Sites, in units of the cell vectors:
Pt 0.0000 0.0000 0.4153
Pt 0.0000 0.5000 0.5882
Pt 0.5000 0.0000 0.9270
Pm 0.0000 0.5000 0.8508
Pm 0.0000 0.0000 0.1458
Pm 0.5000 0.0000 0.6365
Pm 0.5000 0.5000 0.3698
Al 0.5000 0.5000 0.0666

---

Entry from Alexandria via LeMat-Bulk: a geometry-optimized PmAl2Pt6 structure (PBE-GGA).

## Properties
calculated density = 12830 kg/m3
formation energy from the elements = -0.840 eV/atom
symmetry = P6/mmm
energy = -56.0 eV per cell
volume = 19.69 Å³/atom

Lattice parameters (Å, degrees): 5.5009 5.5009 6.7635 90.00 90.00 120.00
Sites, in units of the cell vectors:
Pt 0.0000 0.4999 0.2126
Pm 0.0000 0.0000 0.0000
Al 0.6667 0.3333 0.5000
Pt 0.5001 0.5001 0.2126
Pt 0.5001 0.0000 0.7874
Pt 0.4999 0.0000 0.2126
Pt 0.0000 0.5001 0.7874
Pt 0.4999 0.4999 0.7874
Al 0.3333 0.6667 0.5000

---

Entry from Alexandria via LeMat-Bulk: a geometry-optimized PmAl4Pt structure (PBE-GGA).

## Properties
calculated density = 6513 kg/m3
formation energy from the elements = -0.750 eV/atom
symmetry = Cmcm
energy = -60.5 eV per cell
volume = 19.04 Å³/atom

Lattice parameters (Å, degrees): 4.2474 6.7526 8.2434 90.00 104.93 90.00
Sites, in units of the cell vectors:
Al 0.9302 0.2500 0.8603
Pm 0.8839 0.7500 0.7677
Pm 0.1161 0.2500 0.2323
Pt 0.2229 0.7500 0.4458
Al 0.3153 0.0514 0.6307
Al 0.5000 0.0000 0.0000
Al 0.3153 0.4486 0.6307
Al 0.6847 0.9486 0.3693
Al 0.0698 0.7500 0.1397
Pt 0.7771 0.2500 0.5542
Al 0.5000 0.5000 0.0000
Al 0.6847 0.5514 0.3693

---

Entry from Alexandria via LeMat-Bulk: a geometry-optimized PmAl6Pt3 structure (PBE-GGA).

## Properties
calculated density = 8249 kg/m3
formation energy from the elements = -0.904 eV/atom
symmetry = P2_1/m
energy = -108.7 eV per cell
volume = 17.96 Å³/atom

Lattice parameters (Å, degrees): 4.3002 8.6908 9.6245 87.02 90.00 90.00
Sites, in units of the cell vectors:
Al 0.2500 0.3152 0.2125
Al 0.7500 0.6999 0.2640
Al 0.7500 0.1966 0.3751
Al 0.2500 0.5323 0.9101
Al 0.2500 0.5717 0.4253
Pt 0.7500 0.7202 0.5186
Al 0.2500 0.1111 0.9691
Pt 0.2500 0.2798 0.4814
Pt 0.2500 0.6113 0.1557
Al 0.7500 0.4677 0.0899
Pm 0.2500 0.9490 0.3005
Al 0.2500 0.8034 0.6249
Pt 0.7500 0.3887 0.8443
Al 0.2500 0.3001 0.7360
Al 0.7500 0.8889 0.0309
Pt 0.2500 0.8263 0.8886
Al 0.7500 0.4283 0.5747
Pt 0.7500 0.1737 0.1114
Pm 0.7500 0.0510 0.6995
Al 0.7500 0.6848 0.7875

---

Entry from Alexandria via LeMat-Bulk: a geometry-optimized Pm2AlPt4 structure (PBE-GGA).

## Properties
calculated density = 11629 kg/m3
formation energy from the elements = -0.972 eV/atom
symmetry = C2/m
energy = -44.2 eV per cell
volume = 22.38 Å³/atom

Lattice parameters (Å, degrees): 4.9733 4.9735 8.2620 117.64 117.64 67.52
Sites, in units of the cell vectors:
Pm 0.6691 0.6691 0.2908
Pm 0.3309 0.3309 0.7092
Pt 0.0000 0.5000 0.0000
Al 0.0000 0.0000 0.0000
Pt 0.3299 0.3298 0.3336
Pt 0.6701 0.6702 0.6664
Pt 0.5000 0.0000 0.0000

---

Entry from Alexandria via LeMat-Bulk: a geometry-optimized PmAlPt2 structure (PBE-GGA).

## Properties
calculated density = 11549 kg/m3
formation energy from the elements = -1.100 eV/atom
symmetry = R-3m
energy = -25.0 eV per cell
volume = 20.21 Å³/atom

Lattice parameters (Å, degrees): 4.3566 4.3566 5.5232 66.77 66.77 60.00
Sites, in units of the cell vectors:
Al 0.5000 0.5000 0.5000
Pt 0.2117 0.2117 0.3649
Pt 0.7883 0.7883 0.6351
Pm 0.0000 0.0000 0.0000

---

Entry from Alexandria via LeMat-Bulk: a geometry-optimized PmAl2Pt structure (PBE-GGA).

## Properties
calculated density = 8140 kg/m3
formation energy from the elements = -0.930 eV/atom
symmetry = Pnma
energy = -176.0 eV per cell
volume = 20.10 Å³/atom

Lattice parameters (Å, degrees): 5.7851 6.9823 15.9206 90.00 90.00 90.00
Sites, in units of the cell vectors:
Al 0.5247 0.0559 0.7117
Pt 0.2385 0.2500 0.3196
Al 0.2721 0.0568 0.4603
Al 0.7721 0.5568 0.0397
Al 0.2721 0.4432 0.4603
Pt 0.2615 0.2500 0.8196
Pm 0.4829 0.2500 0.1411
Pm 0.2606 0.7500 0.1047
Pm 0.0171 0.2500 0.6411
Al 0.0247 0.5559 0.7883
Al 0.2279 0.4432 0.9603
Al 0.2279 0.0568 0.9603
Al 0.5247 0.4441 0.7117
Al 0.9753 0.4441 0.2117
Al 0.9753 0.0559 0.2117
Pm 0.7394 0.2500 0.8953
Pm 0.9829 0.7500 0.3589
Al 0.4753 0.5559 0.2883
Pm 0.2394 0.7500 0.6047
Pt 0.9966 0.2500 0.0719
Pt 0.5034 0.2500 0.5719
Al 0.7721 0.9432 0.0397
Al 0.4753 0.9441 0.2883
Pt 0.7615 0.7500 0.6804
Pm 0.7606 0.2500 0.3953
Pt 0.7385 0.7500 0.1804
Pt 0.0034 0.7500 0.9281
Al 0.7279 0.5568 0.5397
Pm 0.5171 0.7500 0.8589
Al 0.0247 0.9441 0.7883
Al 0.7279 0.9432 0.5397
Pt 0.4966 0.7500 0.4281

---

Entry from Alexandria via LeMat-Bulk: a geometry-optimized PmAlPt structure (PBE-GGA).

## Properties
calculated density = 8449 kg/m3
formation energy from the elements = -0.785 eV/atom
symmetry = F-43m
energy = -16.9 eV per cell
volume = 24.05 Å³/atom

Lattice parameters (Å, degrees): 4.6726 4.6726 4.6726 60.00 60.00 60.00
Sites, in units of the cell vectors:
Pt 0.2500 0.2500 0.2500
Pm 0.5000 0.5000 0.5000
Al 0.0000 0.0000 0.0000

---

Entry from Alexandria via LeMat-Bulk: a geometry-optimized PmAl12Pt4 structure (PBE-GGA).

## Properties
calculated density = 6094 kg/m3
formation energy from the elements = -0.375 eV/atom
symmetry = Im-3
energy = -80.2 eV per cell
volume = 20.02 Å³/atom

Lattice parameters (Å, degrees): 7.6181 7.6181 7.6181 109.47 109.47 109.47
Sites, in units of the cell vectors:
Al 0.5031 0.1605 0.3426
Al 0.8395 0.6574 0.4969
Pt 0.5000 0.0000 0.0000
Al 0.4969 0.8395 0.6574
Al 0.1605 0.3426 0.5031
Pt 0.5000 0.5000 0.5000
Al 0.1821 0.8395 0.3426
Pm 0.0000 0.0000 0.0000
Al 0.6574 0.4969 0.8395
Al 0.3426 0.5031 0.1605
Pt 0.0000 0.0000 0.5000
Al 0.8179 0.1605 0.6574
Al 0.3426 0.1821 0.8395
Al 0.8395 0.3426 0.1821
Al 0.6574 0.8179 0.1605
Al 0.1605 0.6574 0.8179
Pt 0.0000 0.5000 0.0000

---

Entry from Alexandria via LeMat-Bulk: a geometry-optimized PmAlPt4 structure (PBE-GGA).

## Properties
calculated density = 14301 kg/m3
formation energy from the elements = -0.783 eV/atom
symmetry = F-43m
energy = -37.4 eV per cell
volume = 18.43 Å³/atom

Lattice parameters (Å, degrees): 5.3876 5.3876 5.3876 60.00 60.00 60.00
Sites, in units of the cell vectors:
Pt 0.6258 0.1227 0.6258
Pt 0.1227 0.6258 0.6258
Pt 0.6258 0.6258 0.6258
Al 0.0000 0.0000 0.0000
Pm 0.2500 0.2500 0.2500
Pt 0.6258 0.6258 0.1227

---

Entry from Alexandria via LeMat-Bulk: a geometry-optimized PmAl3Pt2 structure (PBE-GGA).

## Properties
calculated density = 8789 kg/m3
formation energy from the elements = -0.972 eV/atom
symmetry = C2/m
energy = -67.8 eV per cell
volume = 19.40 Å³/atom

Lattice parameters (Å, degrees): 4.2214 7.7711 8.1005 113.48 90.00 105.76
Sites, in units of the cell vectors:
Pm 0.1452 0.2904 0.0866
Al 0.0192 0.0384 0.3477
Pt 0.5143 0.0286 0.1741
Al 0.9808 0.9616 0.6523
Al 0.3765 0.7531 0.2581
Pm 0.8548 0.7096 0.9134
Pt 0.8252 0.6504 0.3581
Pt 0.1748 0.3496 0.6419
Al 0.6782 0.3563 0.4468
Al 0.3218 0.6437 0.5532
Pt 0.4857 0.9714 0.8259
Al 0.6235 0.2469 0.7419